# HfBeCoPb, relaxed, DFT PBE
# - space group = F-43m
# - density (g/cm3) = 11.27
# - energy above the most stable polymorph in this dataset (meV per atom) = 259
data_HfBeCoPb
_chemical_formula_sum 'Hf1 Be1 Co1 Pb1'
_symmetry_space_group_name_H-M 'P 1'
_symmetry_Int_Tables_number 1
_symmetry_space_group_name_Hall 'P 1'
_cell_length_a 4.5551
_cell_length_b 4.5551
_cell_length_c 4.5551
_cell_angle_alpha 60.00
_cell_angle_beta 60.00
_cell_angle_gamma 60.00
loop_
_atom_site_label
_atom_site_type_symbol
_atom_site_fract_x
_atom_site_fract_y
_atom_site_fract_z
Pb1 Pb 0.0000 0.0000 0.0000
Be1 Be 0.5000 0.5000 0.5000
Co1 Co 0.7500 0.7500 0.7500
Hf1 Hf 0.2500 0.2500 0.2500